(1)
This record from Alexandria describes a geometry-optimized CdCIO2 structure. The functional is PBE.

abc: 4.011 4.011 7.642
angles: 90.00 90.00 90.00
Space group P4/mmm (No. 123)
Unique sites:
1 Cd 0.000 0.000 0.000 x1
2 C 0.500 0.500 0.500 x1
3 I 0.000 0.000 0.500 x1
4 O 0.000 0.500 0.000 x2

Computed properties:
Relative energy among the computed polymorphs   258.2 meV/atom
Uncorrected formation energy   1.3880 eV per atom

=====

(2)
This record from Alexandria describes a geometry-optimized CdCIO2 structure. The functional is PBE.

abc: 3.984 3.984 4.481
angles: 90.00 90.00 90.00
Space group P4/mmm (No. 123)
Unique sites:
1 Cd 0.000 0.000 0.000 x1
2 C 0.500 0.500 0.500 x1
3 I 0.500 0.500 0.000 x1
4 O 0.000 0.500 0.500 x2

Computed properties:
Relative energy among the computed polymorphs   0.0 meV/atom
Uncorrected formation energy   1.1298 eV per atom

=====

(3)
This record from Alexandria describes a geometry-optimized Cd2OsCI structure. The functional is PBE.

abc: 5.120 5.120 3.946
angles: 90.00 90.00 90.00
Space group P4/mmm (No. 123)
Unique sites:
1 Cd 0.000 0.500 0.000 x2
2 Os 0.000 0.000 0.500 x1
3 C 0.000 0.000 0.000 x1
4 I 0.500 0.500 0.500 x1

Computed properties:
Uncorrected formation energy   0.9033 eV per atom

=====

(4)
This record from Alexandria describes a geometry-optimized CdReCI2 structure. The functional is PBE.

abc: 5.472 5.472 3.922
angles: 90.00 90.00 90.00
Space group P4/mmm (No. 123)
Unique sites:
1 Cd 0.000 0.000 0.000 x1
2 Re 0.500 0.500 0.000 x1
3 C 0.500 0.500 0.500 x1
4 I 0.000 0.500 0.500 x2

Computed properties:
Uncorrected formation energy   1.3695 eV per atom

=====

| no. | DFT total energy (eV per atom) |
| --- | --- |
| 1 | -2.9331 |
| 2 | -3.1913 |
| 3 | -3.8635 |
| 4 | -3.7680 |